Record 1
KTl2I2 | PBE | relaxed

- energy above the lowest structure with this stoichiometry (eV per formula unit) = 0.70
- calculated total energy (eV per cell) = -11.83
- space-group type = I4/mmm (139)

a = 6.5948 Å, b = 6.5948 Å, c = 7.0271 Å
α = 62.02°, β = 62.02°, γ = 90.00°
Closest atoms and distances in Å follow each position.
Fractional coordinates of all 5 atoms:
1 I 0.7500 0.2500 0.5000  4 Tl 3.45
2 I 0.2500 0.7500 0.5000  4 Tl 3.45
3 Tl 0.3461 0.3461 0.3078  1 Tl 3.24, 4 I 3.45
4 Tl 0.6539 0.6539 0.6922  1 Tl 3.24, 4 I 3.45
5 K 0.0000 0.0000 0.0000  2 Tl 3.64

***

Record 2
Tm4TlPbO | PBE | relaxed

- calculated total energy (eV per cell) = -73.17
- space-group type = Cmcm (63)

a = 6.4067 Å, b = 6.3905 Å, c = 8.9467 Å
α = 90.00°, β = 110.98°, γ = 90.00°
Closest atoms and distances in Å follow each position.
Fractional coordinates of all 14 atoms:
1 Tm 0.9312 0.2500 0.8624  3 Tl 3.04-3.28, 2 Pb 3.27
2 Tm 0.4160 0.7500 0.8319  1 O 2.39
3 Tm 0.0688 0.7500 0.1376  3 Tl 3.04-3.28, 2 Pb 3.27
4 Tm 0.5840 0.2500 0.1681  1 O 2.39
5 Tm 0.5000 0.5000 0.5000  2 O 2.29
6 Tm 0.0000 0.0000 0.5000  2 O 2.29
7 Tm 0.5000 0.0000 0.5000  2 O 2.29
8 Tm 0.0000 0.5000 0.5000  2 O 2.29
9 Tl 0.1132 0.2500 0.2263  9 Tm 3.04-3.28
10 Tl 0.8868 0.7500 0.7737  9 Tm 3.04-3.28
11 Pb 0.6084 0.7500 0.2169  9 Tm 3.22-3.27
12 Pb 0.3916 0.2500 0.7831  9 Tm 3.22-3.27
13 O 0.2731 0.7500 0.5461  5 Tm 2.29-2.39
14 O 0.7269 0.2500 0.4539  5 Tm 2.29-2.39

***

Record 3
MgTcSb2 | PBE | relaxed

- energy above the lowest structure with this stoichiometry (eV per formula unit) = 0.37
- calculated total energy (eV per cell) = -19.87
- space-group type = Cm (8)

a = 5.3432 Å, b = 5.3432 Å, c = 4.7287 Å
α = 91.64°, β = 91.64°, γ = 38.37°
Closest atoms and distances in Å follow each position.
Fractional coordinates of all 4 atoms:
1 Mg 0.2981 0.2981 0.1343  7 Sb 2.76-3.07, 2 Tc 2.76-2.83
2 Sb 0.0247 0.0247 0.0949  3 Mg 2.76-2.89, 2 Tc 2.83
3 Sb 0.7314 0.7314 0.6180  3 Tc 2.79-2.89, 4 Mg 2.98-3.07
4 Tc 0.4458 0.4458 0.6528  2 Mg 2.76-2.83, 5 Sb 2.79-2.89

***

Record 4
KTeBr2 | PBE | relaxed

- energy above the lowest structure with this stoichiometry (eV per formula unit) = 0.69
- calculated total energy (eV per cell) = -20.09
- space-group type = I-42d (122)

a = 5.8960 Å, b = 5.8960 Å, c = 10.4178 Å
α = 73.56°, β = 73.56°, γ = 90.00°
Closest atoms and distances in Å follow each position.
Fractional coordinates of all 8 atoms:
1 K 0.5000 0.5000 0.0000  4 Br 3.37
2 K 0.2500 0.7500 0.5000  4 Br 3.37
3 Te 0.0000 0.0000 0.0000  4 Br 3.00
4 Te 0.7500 0.2500 0.5000  4 Br 3.00
5 Br 0.6927 0.1250 0.2500  2 Te 3.00
6 Br 0.0573 0.6250 0.2500  2 Te 3.00
7 Br 0.3750 0.3073 0.7500  2 Te 3.00
8 Br 0.8750 0.9427 0.7500  2 Te 3.00

***

Record 5
Tb2Pm2Se3S2 | PBE | relaxed

- calculated total energy (eV per cell) = -51.62
- space-group type = I4/mmm (139)

a = 5.6408 Å, b = 5.6408 Å, c = 8.2165 Å
α = 110.08°, β = 110.08°, γ = 90.00°
Closest atoms and distances in Å follow each position.
Fractional coordinates of all 9 atoms:
1 Tb 0.5000 0.0000 0.0000  2 Se 2.82, 4 S 3.15
2 Tb 0.0000 0.5000 0.0000  2 Se 2.82, 4 S 3.15
3 Pm 0.2124 0.2124 0.4249  1 S 2.73, 5 Se 2.87-3.05
4 Pm 0.7876 0.7876 0.5751  1 S 2.73, 5 Se 2.87-3.05
5 Se 0.0000 0.0000 0.0000  4 Tb 2.82, 2 Pm 3.05
6 Se 0.2500 0.7500 0.5000  4 Pm 2.87
7 Se 0.7500 0.2500 0.5000  4 Pm 2.87
8 S 0.5974 0.5974 0.1948  1 Pm 2.73, 1 S 2.80
9 S 0.4026 0.4026 0.8052  1 Pm 2.73, 1 S 2.80

***

Record 6
Ba2ErAgTe4 | PBE | relaxed

- calculated total energy (eV per cell) = -33.72
- space-group type = P2/m (10)

a = 4.6549 Å, b = 8.0541 Å, c = 8.2186 Å
α = 69.65°, β = 90.00°, γ = 90.00°
Closest atoms and distances in Å follow each position.
Fractional coordinates of all 8 atoms:
1 Ba 0.0000 0.0000 0.0000  6 Te 3.47-3.58
2 Ba 0.5000 0.0000 0.5000  6 Te 3.42-3.48
3 Er 0.0000 0.5000 0.5000  6 Te 3.12
4 Ag 0.5000 0.5000 0.0000  6 Te 3.12-3.28
5 Te 0.0000 0.7042 0.7604  1 Er 3.12, 2 Ag 3.12, 2 Ba 3.48
6 Te 0.0000 0.2958 0.2396  1 Er 3.12, 2 Ag 3.12, 2 Ba 3.48
7 Te 0.5000 0.7168 0.2714  2 Er 3.12, 1 Ag 3.28, 3 Ba 3.42-3.47
8 Te 0.5000 0.2832 0.7286  2 Er 3.12, 1 Ag 3.28, 3 Ba 3.42-3.47

***

Record 7
SrOs2SeN | PBE | relaxed

- calculated total energy (eV per cell) = -34.12
- space-group type = P4/mmm (123)

a = 3.9648 Å, b = 6.3860 Å, c = 3.9648 Å
α = 90.00°, β = 90.00°, γ = 90.00°
Closest atoms and distances in Å follow each position.
Fractional coordinates of all 5 atoms:
1 Sr 0.5000 0.5000 0.5000  4 Se 2.80
2 Os 0.0000 0.0000 0.5000  2 N 1.98
3 Os 0.5000 0.0000 0.0000  2 N 1.98
4 Se 0.0000 0.5000 0.0000  4 Sr 2.80
5 N 0.0000 0.0000 0.0000  4 Os 1.98

***

Record 8
Li5Pr3Ge2 | PBE | relaxed

- energy of formation from the pure elements (meV/atom) = -259
- calculated total energy (eV per cell) = -71.47
- space-group type = Ibam (72)

a = 6.0363 Å, b = 9.4224 Å, c = 9.4224 Å
α = 86.78°, β = 71.32°, γ = 71.32°
Closest atoms and distances in Å follow each position.
Fractional coordinates of all 20 atoms:
1 Li 0.2500 0.5000 0.5000  8 Li 2.79-3.07
2 Li 0.7500 0.5000 0.5000  8 Li 2.79-3.07
3 Li 0.5005 0.7495 0.7495  5 Li 2.85-3.07, 2 Ge 2.93, 1 Pr 3.08
4 Li 0.9995 0.2505 0.2505  5 Li 2.85-3.07, 2 Ge 2.93, 1 Pr 3.08
5 Li 0.4995 0.2505 0.2505  5 Li 2.85-3.07, 2 Ge 2.93, 1 Pr 3.08
6 Li 0.0005 0.7495 0.7495  5 Li 2.85-3.07, 2 Ge 2.93, 1 Pr 3.08
7 Li 0.1201 0.5205 0.2393  1 Ge 2.57, 4 Li 2.79-2.85
8 Li 0.8799 0.4795 0.7607  1 Ge 2.57, 4 Li 2.79-2.85
9 Li 0.6201 0.2393 0.5205  1 Ge 2.57, 4 Li 2.79-2.85
10 Li 0.3799 0.7607 0.4795  1 Ge 2.57, 4 Li 2.79-2.85
11 Pr 0.2500 0.0000 0.0000  2 Pr 3.02, 4 Ge 3.08, 2 Li 3.08
12 Pr 0.7500 0.0000 0.0000  2 Pr 3.02, 4 Ge 3.08, 2 Li 3.08
13 Pr 0.3715 0.3792 0.8779  4 Ge 3.10-3.46, 4 Li 3.33-3.40
14 Pr 0.6285 0.6208 0.1221  4 Ge 3.10-3.46, 4 Li 3.33-3.40
15 Pr 0.8715 0.8779 0.3792  4 Ge 3.10-3.46, 4 Li 3.33-3.40
16 Pr 0.1285 0.1221 0.6208  4 Ge 3.10-3.46, 4 Li 3.33-3.40
17 Ge 0.1368 0.7017 0.0247  1 Li 2.57
18 Ge 0.8632 0.2983 0.9753  1 Li 2.57
19 Ge 0.6368 0.0247 0.7017  1 Li 2.57
20 Ge 0.3632 0.9753 0.2983  1 Li 2.57

***

Record 9
LaAuI | PBE | relaxed

- calculated total energy (eV per cell) = -26.03
- space-group type = C2/m (12)

a = 4.4594 Å, b = 4.4578 Å, c = 13.9094 Å
α = 96.25°, β = 80.78°, γ = 59.99°
Closest atoms and distances in Å follow each position.
Fractional coordinates of all 6 atoms:
1 La 0.8264 0.0257 0.3215  4 Au 3.01-3.21, 3 I 3.32
2 La 0.1736 0.9743 0.6785  4 Au 3.01-3.21, 3 I 3.32
3 Au 0.6119 0.2150 0.5613  4 La 3.01-3.21, 3 Au 3.05
4 Au 0.3881 0.7850 0.4387  4 La 3.01-3.21, 3 Au 3.05
5 I 0.2994 0.2360 0.1652  3 La 3.32
6 I 0.7006 0.7640 0.8348  3 La 3.32

***

Record 10
ErSiB | PBE | relaxed

- energy above the lowest structure with this stoichiometry (eV per formula unit) = 0.30
- calculated total energy (eV per cell) = -36.68
- space-group type = Imma (74)

a = 4.0016 Å, b = 3.5219 Å, c = 6.7559 Å
α = 105.11°, β = 107.24°, γ = 90.00°
Closest atoms and distances in Å follow each position.
Fractional coordinates of all 6 atoms:
1 Er 0.6147 0.8642 0.7284  6 B 2.71-2.85, 6 Si 2.87-2.90
2 Er 0.3853 0.1358 0.2716  6 B 2.71-2.85, 6 Si 2.87-2.90
3 Si 0.1997 0.4497 0.8994  1 B 2.07
4 Si 0.8003 0.5503 0.1006  1 B 2.07
5 B 0.0329 0.2828 0.5656  2 B 1.94, 1 Si 2.07
6 B 0.9671 0.7172 0.4344  2 B 1.94, 1 Si 2.07

***

Record 11
Na3Pu2ScS6 | PBE | relaxed

- calculated total energy (eV per cell) = -82.89
- space-group type = C2/m (12)

a = 6.8459 Å, b = 6.8459 Å, c = 7.0129 Å
α = 99.37°, β = 99.37°, γ = 120.02°
Closest atoms and distances in Å follow each position.
Fractional coordinates of all 12 atoms:
1 Na 0.1669 0.8331 0.5000  6 S 2.90-2.99
2 Na 0.8331 0.1669 0.5000  6 S 2.90-2.99
3 Na 0.5000 0.5000 0.5000  6 S 2.89-3.00
4 Pu 0.3333 0.6667 0.0000  6 S 2.75-2.76
5 Pu 0.6667 0.3333 0.0000  6 S 2.75-2.76
6 Sc 0.0000 0.0000 0.0000  6 S 2.64-2.65
7 S 0.9256 0.6049 0.7767  1 Sc 2.65, 2 Pu 2.76, 2 Na 2.89-2.90
8 S 0.7536 0.7536 0.2218  1 Sc 2.64, 2 Pu 2.75, 2 Na 2.90
9 S 0.0744 0.3951 0.2233  1 Sc 2.65, 2 Pu 2.76, 2 Na 2.89-2.90
10 S 0.6049 0.9256 0.7767  1 Sc 2.65, 2 Pu 2.76, 2 Na 2.89-2.90
11 S 0.2464 0.2464 0.7782  1 Sc 2.64, 2 Pu 2.75, 2 Na 2.90
12 S 0.3951 0.0744 0.2233  1 Sc 2.65, 2 Pu 2.76, 2 Na 2.89-2.90

***

Record 12
Nd2CuNi3Sn4 | PBE | relaxed

- energy of formation from the pure elements (meV/atom) = -513
- calculated total energy (eV per cell) = -52.12
- space-group type = P-4m2 (115)

a = 4.4569 Å, b = 4.4569 Å, c = 10.2770 Å
α = 90.00°, β = 90.00°, γ = 90.00°
Closest atoms and distances in Å follow each position.
Fractional coordinates of all 10 atoms:
1 Nd 0.5000 0.0000 0.2588  6 Ni 3.33-3.44, 2 Cu 3.33, 8 Sn 3.35-3.47
2 Nd 0.0000 0.5000 0.7412  6 Ni 3.33-3.44, 2 Cu 3.33, 8 Sn 3.35-3.47
3 Cu 0.5000 0.5000 0.5000  4 Sn 2.60
4 Ni 0.0000 0.0000 0.5000  4 Sn 2.60
5 Ni 0.5000 0.0000 0.8749  5 Sn 2.51-2.57
6 Ni 0.0000 0.5000 0.1251  5 Sn 2.51-2.57
7 Sn 0.5000 0.5000 0.0000  4 Ni 2.57
8 Sn 0.0000 0.0000 0.0000  4 Ni 2.57
9 Sn 0.5000 0.0000 0.6308  3 Ni 2.51-2.60, 2 Cu 2.60
10 Sn 0.0000 0.5000 0.3692  3 Ni 2.51-2.60, 2 Cu 2.60

***

Copy entry 8 word for word.
Li5Pr3Ge2 | PBE | relaxed

- energy of formation from the pure elements (meV/atom) = -259
- calculated total energy (eV per cell) = -71.47
- space-group type = Ibam (72)

a = 6.0363 Å, b = 9.4224 Å, c = 9.4224 Å
α = 86.78°, β = 71.32°, γ = 71.32°
Closest atoms and distances in Å follow each position.
Fractional coordinates of all 20 atoms:
1 Li 0.2500 0.5000 0.5000  8 Li 2.79-3.07
2 Li 0.7500 0.5000 0.5000  8 Li 2.79-3.07
3 Li 0.5005 0.7495 0.7495  5 Li 2.85-3.07, 2 Ge 2.93, 1 Pr 3.08
4 Li 0.9995 0.2505 0.2505  5 Li 2.85-3.07, 2 Ge 2.93, 1 Pr 3.08
5 Li 0.4995 0.2505 0.2505  5 Li 2.85-3.07, 2 Ge 2.93, 1 Pr 3.08
6 Li 0.0005 0.7495 0.7495  5 Li 2.85-3.07, 2 Ge 2.93, 1 Pr 3.08
7 Li 0.1201 0.5205 0.2393  1 Ge 2.57, 4 Li 2.79-2.85
8 Li 0.8799 0.4795 0.7607  1 Ge 2.57, 4 Li 2.79-2.85
9 Li 0.6201 0.2393 0.5205  1 Ge 2.57, 4 Li 2.79-2.85
10 Li 0.3799 0.7607 0.4795  1 Ge 2.57, 4 Li 2.79-2.85
11 Pr 0.2500 0.0000 0.0000  2 Pr 3.02, 4 Ge 3.08, 2 Li 3.08
12 Pr 0.7500 0.0000 0.0000  2 Pr 3.02, 4 Ge 3.08, 2 Li 3.08
13 Pr 0.3715 0.3792 0.8779  4 Ge 3.10-3.46, 4 Li 3.33-3.40
14 Pr 0.6285 0.6208 0.1221  4 Ge 3.10-3.46, 4 Li 3.33-3.40
15 Pr 0.8715 0.8779 0.3792  4 Ge 3.10-3.46, 4 Li 3.33-3.40
16 Pr 0.1285 0.1221 0.6208  4 Ge 3.10-3.46, 4 Li 3.33-3.40
17 Ge 0.1368 0.7017 0.0247  1 Li 2.57
18 Ge 0.8632 0.2983 0.9753  1 Li 2.57
19 Ge 0.6368 0.0247 0.7017  1 Li 2.57
20 Ge 0.3632 0.9753 0.2983  1 Li 2.57

***

Please write out number 10 again, unchanged.
ErSiB | PBE | relaxed

- energy above the lowest structure with this stoichiometry (eV per formula unit) = 0.30
- calculated total energy (eV per cell) = -36.68
- space-group type = Imma (74)

a = 4.0016 Å, b = 3.5219 Å, c = 6.7559 Å
α = 105.11°, β = 107.24°, γ = 90.00°
Closest atoms and distances in Å follow each position.
Fractional coordinates of all 6 atoms:
1 Er 0.6147 0.8642 0.7284  6 B 2.71-2.85, 6 Si 2.87-2.90
2 Er 0.3853 0.1358 0.2716  6 B 2.71-2.85, 6 Si 2.87-2.90
3 Si 0.1997 0.4497 0.8994  1 B 2.07
4 Si 0.8003 0.5503 0.1006  1 B 2.07
5 B 0.0329 0.2828 0.5656  2 B 1.94, 1 Si 2.07
6 B 0.9671 0.7172 0.4344  2 B 1.94, 1 Si 2.07